BaGeWO6 | GGA+U | relaxed Values from VASP.

Magnetization in μB/atom: 0.0000
SG: P-31c, No. 163
Raw total energy in eV/atom: -7.018

```
&SYSTEM
  ibrav = 0, nat = 18, ntyp = 4
/
ATOMIC_SPECIES
W 183.84 W.upf
O 16.00 O.upf
Ge 72.64 Ge.upf
Ba 137.33 Ba.upf
ATOMIC_POSITIONS crystal
W 0.667 0.333 0.750
O 0.004 0.396 0.655
O 0.392 0.996 0.655
O 0.608 0.604 0.155
Ge 0.333 0.667 0.750
O 0.604 0.608 0.655
O 0.996 0.392 0.155
Ge 0.667 0.333 0.250
O 0.392 0.396 0.845
O 0.396 0.392 0.345
O 0.608 0.004 0.345
O 0.604 0.996 0.845
O 0.396 0.004 0.155
Ba 0.000 0.000 0.000
O 0.004 0.608 0.845
Ba 0.000 0.000 0.500
W 0.333 0.667 0.250
O 0.996 0.604 0.345
CELL_PARAMETERS angstrom
-3.767 -3.075 1.912
0.708 0.362 -5.164
7.453 -8.880 0.399
```